A plane-wave DFT calculation with GGA-PBE was carried out for LiSnHg2 after structural relaxation.

Geometry as POSCAR:
```
LiSnHg2
1.0
0.000 3.584 3.584
3.584 0.000 3.584
3.584 3.584 0.000
Hg Li Sn
2 1 1
Direct
0.000 0.000 0.000
0.750 0.750 0.750
0.250 0.250 0.250
0.500 0.500 0.500
```

Values from the calculation:
E = -1.707 eV per atom